DFT (SCAN) results for a PBEsol-optimized structure of Tc4PIr.

a = 5.0000 Å, b = 5.0000 Å, c = 5.0000 Å
α = 60.00°, β = 60.00°, γ = 60.00°
Positions (direct):
Tc 0.1242 0.1242 0.1242
Tc 0.1242 0.1242 0.6274
Tc 0.1242 0.6274 0.1242
Tc 0.6274 0.1242 0.1242
P 0.5000 0.5000 0.5000
Ir 0.7500 0.7500 0.7500

Computed properties:
DFT formation energy: 719 meV/atom
total moment: 0.0 μB/f.u.
theoretical density: 11.56 g/cm³
space group: F-43m



DFT (SCAN) results for a PBEsol-optimized structure of LaScFe2C.

a = 3.8621 Å, b = 3.8621 Å, c = 4.9786 Å
α = 90.00°, β = 90.00°, γ = 90.00°
Positions (direct):
La 0.0000 0.0000 0.0000
Sc 0.5000 0.5000 0.0000
Fe 0.0000 0.5000 0.5000
Fe 0.5000 0.0000 0.5000
C 0.0000 0.0000 0.5000

Computed properties:
DFT formation energy: 448 meV/atom
total moment: 4.8 μB/f.u.
theoretical density: 6.88 g/cm³
space group: P4/mmm



DFT (SCAN) results for a PBEsol-optimized structure of ZrTaIn.

a = 2.9677 Å, b = 2.9677 Å, c = 13.6711 Å
α = 90.00°, β = 90.00°, γ = 90.00°
Positions (direct):
Zr 0.0000 0.0000 0.0000
Zr 0.5000 0.5000 0.5000
Ta 0.0000 0.0000 0.3383
Ta 0.5000 0.5000 0.8383
In 0.0000 0.0000 0.6756
In 0.5000 0.5000 0.1756

Computed properties:
DFT formation energy: -75 meV/atom
total moment: 0.0 μB/f.u.
theoretical density: 10.67 g/cm³
space group: I4mm
relative energy among the computed polymorphs: 0.000 eV/atom



DFT (SCAN) results for a PBEsol-optimized structure of AlZn2Pb.

a = 6.8056 Å, b = 6.8056 Å, c = 6.8056 Å
α = 90.00°, β = 90.00°, γ = 90.00°
Positions (direct):
Al 0.0000 0.0000 0.0000
Al 0.0000 0.5000 0.5000
Al 0.5000 0.0000 0.5000
Al 0.5000 0.5000 0.0000
Zn 0.2500 0.2500 0.2500
Zn 0.2500 0.2500 0.7500
Zn 0.2500 0.7500 0.2500
Zn 0.2500 0.7500 0.7500
Zn 0.7500 0.2500 0.2500
Zn 0.7500 0.2500 0.7500
Zn 0.7500 0.7500 0.2500
Zn 0.7500 0.7500 0.7500
Pb 0.0000 0.0000 0.5000
Pb 0.0000 0.5000 0.0000
Pb 0.5000 0.0000 0.0000
Pb 0.5000 0.5000 0.5000

Computed properties:
DFT formation energy: 327 meV/atom
total moment: 0.0 μB/f.u.
theoretical density: 7.69 g/cm³
space group: Fm-3m
relative energy among the computed polymorphs: 0.177 eV/atom



DFT (SCAN) results for a PBEsol-optimized structure of CaReIO2.

a = 4.2364 Å, b = 4.2364 Å, c = 6.0364 Å
α = 90.00°, β = 90.00°, γ = 90.00°
Positions (direct):
Ca 0.0000 0.0000 0.0000
Re 0.5000 0.5000 0.5000
I 0.0000 0.0000 0.5000
O 0.0000 0.5000 0.0000
O 0.5000 0.0000 0.0000

Computed properties:
ΔE_f (raw): 0.378 eV/atom
total moment: 6.2 μB/f.u.
theoretical density: 5.90 g/cm³
space group: P4/mmm



DFT (SCAN) results for a PBEsol-optimized structure of ScCr3F.

a = 4.6614 Å, b = 4.6614 Å, c = 4.6614 Å
α = 90.00°, β = 90.00°, γ = 90.00°
Positions (direct):
Sc 0.0000 0.0000 0.0000
Cr 0.0000 0.0000 0.5000
Cr 0.0000 0.5000 0.0000
Cr 0.5000 0.0000 0.0000
F 0.5000 0.5000 0.5000

Computed properties:
ΔE_f (raw): 1.537 eV/atom
total moment: 13.2 μB/f.u.
theoretical density: 3.61 g/cm³
space group: Pm-3m



DFT (SCAN) results for a PBEsol-optimized structure of CoHg2Pb.

a = 5.5584 Å, b = 8.6865 Å, c = 3.4037 Å
α = 90.00°, β = 90.00°, γ = 90.00°
Positions (direct):
Co 0.0000 0.0000 0.0000
Co 0.5000 0.5000 0.0000
Hg 0.2500 0.2500 0.5000
Hg 0.2500 0.7500 0.5000
Hg 0.7500 0.2500 0.5000
Hg 0.7500 0.7500 0.5000
Pb 0.0000 0.5000 0.0000
Pb 0.5000 0.0000 0.0000

Computed properties:
DFT formation energy: 427 meV/atom
total moment: 1.7 μB/f.u.
theoretical density: 13.49 g/cm³
space group: Cmmm



DFT (SCAN) results for a PBEsol-optimized structure of BaRhW.

a = 4.1405 Å, b = 4.1405 Å, c = 5.2730 Å
α = 90.00°, β = 90.00°, γ = 120.00°
Positions (direct):
Ba 0.0000 0.0000 0.0000
Rh 0.3333 0.6667 0.4662
W 0.6667 0.3333 0.5254

Computed properties:
DFT formation energy: 487 meV/atom
total moment: 0.0 μB/f.u.
theoretical density: 9.00 g/cm³
space group: P3m1



What is the formula in the second record?
LaScFe2C



Which of these has the highest theoretical density?
CoHg2Pb